Entry 1:
Below is crystalline Cr2Tc at its relaxed geometry, with properties calculated at the PBE-GGA level.

As for the formation energy: 0.30 eV per atom.

CIF file:
```
data_Cr2Tc
_cell_length_a 4.3330
_cell_length_b 4.3330
_cell_length_c 4.7789
_cell_angle_alpha 90.00
_cell_angle_beta 90.00
_cell_angle_gamma 120.00
_space_group_name_H-M_alt 'P 63/m m c'
_space_group_IT_number 194
_space_group_name_Hall '-P 6c 2c'
loop_
_atom_site_label
_atom_site_type_symbol
_atom_site_fract_x
_atom_site_fract_y
_atom_site_fract_z
Cr1 Cr 0.0000 0.0000 0.0000
Cr2 Cr 0.3333 0.6667 0.2500
Tc1 Tc 0.3333 0.6667 0.7500
```

---

Entry 2:
Below is crystalline Pm6AlIr2 at its relaxed geometry, with properties calculated at the PBE-GGA level.

As for the formation energy: -0.48 eV per atom.

CIF file:
```
data_Pm6AlIr2
_cell_length_a 9.5777
_cell_length_b 9.7434
_cell_length_c 10.6965
_cell_angle_alpha 90.00
_cell_angle_beta 90.00
_cell_angle_gamma 90.00
_space_group_name_H-M_alt 'I m m m'
_space_group_IT_number 71
_space_group_name_Hall '-I 2 2'
loop_
_atom_site_label
_atom_site_type_symbol
_atom_site_fract_x
_atom_site_fract_y
_atom_site_fract_z
Pm1 Pm 0.0000 0.1967 0.2381
Pm2 Pm 0.1907 0.5000 0.1683
Pm3 Pm 0.2129 0.3209 0.5000
Al1 Al 0.0000 0.0000 0.0000
Al2 Al 0.0000 0.0000 0.5000
Ir1 Ir 0.0000 0.3223 0.0000
Ir2 Ir 0.0000 0.5000 0.3679
```

---

formation energy of number 1 (Cr2Tc)? 0.30 eV per atom